Li3MnP2HO8, relaxed, DFT PBE+U; space group = P-1, No. 2; calculated volume = 150.7 Å³/f.u.; E = -0.24306 Ha/atom
1.0
-3.101 -1.903 -3.607
4.339 -2.628 0.561
-2.756 -3.591 4.371
Li Mn P H O
3 1 2 1 8
direct
0.000 0.000 0.500
0.776 0.383 0.242
0.224 0.617 0.758
0.000 0.000 0.000
0.640 0.359 0.751
0.360 0.641 0.249
0.500 0.000 0.500
0.749 0.245 0.943
0.251 0.755 0.057
0.702 0.219 0.542
0.298 0.781 0.458
0.810 0.687 0.735
0.190 0.313 0.265
0.687 0.726 0.240
0.313 0.274 0.760